KYGe2F: relaxed, GGA-PBE.

Energy relative to the elements, uncorrected, eV/f.u.: 5.219
VASP energy, Ry per atom: -0.1977
SG: P4/mmm

Structure (CIF):
```
data_KYGe2F
_cell_length_a 5.274
_cell_length_b 5.978
_cell_length_c 5.274
_cell_angle_alpha 90.00
_cell_angle_beta 90.00
_cell_angle_gamma 90.00
_symmetry_space_group_name_H-M 'P 1'
_symmetry_Int_Tables_number 1
_symmetry_space_group_name_Hall 'P 1'
loop_
_atom_site_label
_atom_site_type_symbol
_atom_site_fract_x
_atom_site_fract_y
_atom_site_fract_z
Y1 Y 0.000 0.500 0.000
Ge1 Ge 0.000 0.000 0.500
Ge2 Ge 0.500 0.000 0.000
K1 K 0.000 0.000 0.000
F1 F 0.500 0.500 0.500
```

=====

K2ZnGeF6: relaxed, GGA-PBE.

Energy relative to the elements, uncorrected, eV/f.u.: -24.565
VASP energy, Ry per atom: -0.3225
SG: P-1

Structure (CIF):
```
data_K2ZnGeF6
_cell_length_a 6.068
_cell_length_b 6.068
_cell_length_c 6.021
_cell_angle_alpha 59.73
_cell_angle_beta 59.74
_cell_angle_gamma 59.98
_symmetry_space_group_name_H-M 'P 1'
_symmetry_Int_Tables_number 1
_symmetry_space_group_name_Hall 'P 1'
loop_
_atom_site_label
_atom_site_type_symbol
_atom_site_fract_x
_atom_site_fract_y
_atom_site_fract_z
K1 K 0.565 0.566 0.304
K2 K 0.067 0.067 0.799
Zn1 Zn 0.316 0.316 0.051
Ge1 Ge 0.816 0.816 0.552
F1 F 0.555 0.121 0.294
F2 F 0.119 0.032 0.294
F3 F 0.031 0.556 0.292
F4 F 0.513 0.600 0.809
F5 F 0.601 0.076 0.811
F6 F 0.078 0.512 0.809
```

=====

K4Zn3GeF12: relaxed, GGA-PBE.

Energy relative to the elements, uncorrected, eV/f.u.: -50.121
VASP energy, Ry per atom: -0.3139
SG: Im-3m

Structure (CIF):
```
data_K4Zn3GeF12
_cell_length_a 7.291
_cell_length_b 7.291
_cell_length_c 7.291
_cell_angle_alpha 109.47
_cell_angle_beta 109.47
_cell_angle_gamma 109.47
_symmetry_space_group_name_H-M 'P 1'
_symmetry_Int_Tables_number 1
_symmetry_space_group_name_Hall 'P 1'
loop_
_atom_site_label
_atom_site_type_symbol
_atom_site_fract_x
_atom_site_fract_y
_atom_site_fract_z
K1 K 0.500 0.500 0.500
K2 K 0.000 0.000 0.500
K3 K 0.500 0.000 0.000
K4 K 0.000 0.500 0.000
Zn1 Zn 0.500 0.000 0.500
Zn2 Zn 0.500 0.500 0.000
Zn3 Zn 0.000 0.500 0.500
Ge1 Ge 0.000 0.000 0.000
F1 F 0.250 0.500 0.750
F2 F 0.740 0.000 0.740
F3 F 0.260 0.000 0.260
F4 F 0.750 0.500 0.250
F5 F 0.740 0.740 0.000
F6 F 0.260 0.260 0.000
F7 F 0.750 0.250 0.500
F8 F 0.250 0.750 0.500
F9 F 0.500 0.250 0.750
F10 F 0.000 0.740 0.740
F11 F 0.500 0.750 0.250
F12 F 0.000 0.260 0.260
```

=====

LaGeF2: relaxed, GGA-PBE.

ΔE to the lowest computed polymorph, meV per atom: 496
Energy relative to the elements, uncorrected, eV/f.u.: -7.372
VASP energy, Ry per atom: -0.3796
SG: Fm-3m

Structure (CIF):
```
data_LaGeF2
_cell_length_a 4.684
_cell_length_b 4.684
_cell_length_c 4.684
_cell_angle_alpha 60.00
_cell_angle_beta 60.00
_cell_angle_gamma 60.00
_symmetry_space_group_name_H-M 'P 1'
_symmetry_Int_Tables_number 1
_symmetry_space_group_name_Hall 'P 1'
loop_
_atom_site_label
_atom_site_type_symbol
_atom_site_fract_x
_atom_site_fract_y
_atom_site_fract_z
Ge1 Ge 0.000 0.000 0.000
F1 F 0.250 0.250 0.250
F2 F 0.750 0.750 0.750
La1 La 0.500 0.500 0.500
```

=====

LaGeF2: relaxed, GGA-PBE.

ΔE to the lowest computed polymorph, meV per atom: 210
Energy relative to the elements, uncorrected, eV/f.u.: -8.514
VASP energy, Ry per atom: -0.4006
SG: I-42d

Structure (CIF):
```
data_LaGeF2
_cell_length_a 4.722
_cell_length_b 4.722
_cell_length_c 8.522
_cell_angle_alpha 73.92
_cell_angle_beta 73.92
_cell_angle_gamma 90.00
_symmetry_space_group_name_H-M 'P 1'
_symmetry_Int_Tables_number 1
_symmetry_space_group_name_Hall 'P 1'
loop_
_atom_site_label
_atom_site_type_symbol
_atom_site_fract_x
_atom_site_fract_y
_atom_site_fract_z
Ge1 Ge 0.500 0.500 0.000
Ge2 Ge 0.250 0.750 0.500
F1 F 0.734 0.125 0.250
F2 F 0.016 0.625 0.250
F3 F 0.375 0.266 0.750
F4 F 0.875 0.984 0.750
La1 La 0.000 0.000 0.000
La2 La 0.750 0.250 0.500
```

=====

La5Ge3F: relaxed, GGA-PBE.

Energy relative to the elements, uncorrected, eV/f.u.: -11.048
VASP energy, Ry per atom: -0.4198
SG: I4/mcm

Structure (CIF):
```
data_La5Ge3F
_cell_length_a 8.217
_cell_length_b 8.217
_cell_length_c 9.190
_cell_angle_alpha 116.56
_cell_angle_beta 116.56
_cell_angle_gamma 90.00
_symmetry_space_group_name_H-M 'P 1'
_symmetry_Int_Tables_number 1
_symmetry_space_group_name_Hall 'P 1'
loop_
_atom_site_label
_atom_site_type_symbol
_atom_site_fract_x
_atom_site_fract_y
_atom_site_fract_z
La1 La 0.500 0.500 0.000
La2 La 0.000 0.000 0.000
La3 La 0.185 0.027 0.712
La4 La 0.527 0.685 0.712
La5 La 0.685 0.185 0.712
La6 La 0.027 0.527 0.712
La7 La 0.815 0.973 0.288
La8 La 0.473 0.315 0.288
La9 La 0.315 0.815 0.288
La10 La 0.973 0.473 0.288
Ge1 Ge 0.250 0.250 0.500
Ge2 Ge 0.750 0.750 0.500
Ge3 Ge 0.126 0.374 0.000
Ge4 Ge 0.874 0.626 0.000
Ge5 Ge 0.626 0.126 0.000
Ge6 Ge 0.374 0.874 0.000
F1 F 0.250 0.750 0.500
F2 F 0.750 0.250 0.500
```

=====

> The lowest energy relative to the elements, uncorrected belongs to which entry?

K4Zn3GeF12

=====

> What is the energy relative to the elements, uncorrected in the third record?

-50.121 eV/f.u.